5
Lattice="-6.356 -2.609 -0.380 2.269 -4.905 -4.260 1.344 -4.060 5.391" Properties=species:S:1:pos:R:3 comment="Rb3TiIn PBE relaxed" e_form_ev_per_atom=1.008 e_above_lowest_polymorph_kj_per_mol_atoms=0.0 density_kg_m3=2136 pbc="T T T"
Ti 0.000 0.000 0.000
Rb 1.134 -2.452 -2.130
Rb 0.672 -2.030 2.695
Rb -3.178 -1.305 -0.190
In -1.372 -5.787 0.375